Record 1
The following is a DFT calculation (PBE) of PmTmRhAu after structural relaxation.

Cell and atoms, written as POSCAR:
```
PmTmRhAu
1.0
-3.728 -0.284 0.656
0.804 -3.293 3.144
2.242 3.802 3.408
Pm Rh Tm Au
1 1 1 1
Direct
0.145 0.000 0.291
0.409 0.000 0.817
0.865 0.500 0.729
0.581 0.500 0.163
```

Its density of states at the Fermi level is 2.81 states/eV/f.u. Its energy relative to the lowest polymorph listed for this composition is 0 meV per atom. The calculation puts the formation energy from the elements at -0.8236 eV per atom. The space-group type is No. 38.

***

Record 2
The following is a DFT calculation (PBE) of MnOs2Cl after structural relaxation.

Cell and atoms, written as POSCAR:
```
MnOs2Cl
1.0
-3.595 -1.024 -2.144
-3.149 -2.937 -0.155
-4.192 2.481 3.325
Mn Os Cl
1 2 1
Direct
0.305 0.305 0.346
0.702 0.702 0.774
0.926 0.926 0.963
0.567 0.567 0.417
```

For the uncorrected formation energy, the calculation gives 596 meV per atom. Its density of states at the Fermi level is 3.08 states/eV/f.u. Its energy relative to the lowest polymorph listed for this composition is 278 meV per atom. The space-group type is No. 8.

***

Record 3
The following is a DFT calculation (PBE) of SmMn2SiC after structural relaxation.

Cell and atoms, written as POSCAR:
```
SmMn2SiC
1.0
5.638 0.009 0.000
-4.364 3.570 0.000
0.000 0.000 7.041
Si Mn C Sm
2 4 2 2
Direct
0.734 0.266 0.750
0.266 0.734 0.250
0.831 0.169 0.437
0.831 0.169 0.063
0.169 0.831 0.563
0.169 0.831 0.937
0.000 0.000 0.500
0.000 0.000 0.000
0.454 0.546 0.750
0.546 0.454 0.250
```

For the uncorrected formation energy, the calculation gives -451 meV per atom. Its density of states at the Fermi level is 2.73 states/eV/f.u. The space-group type is No. 63.

***

Record 4
The following is a DFT calculation (PBE) of Li3Br after structural relaxation.

Cell and atoms, written as POSCAR:
```
Li3Br
1.0
-2.163 3.478 9.948
-3.330 7.872 6.532
0.067 -6.590 -8.503
Li Br
6 2
Direct
0.250 0.750 0.500
0.000 0.500 0.500
0.750 0.250 0.500
0.120 0.120 0.000
0.880 0.880 0.000
0.500 0.000 0.500
0.593 0.593 0.000
0.407 0.407 0.000
```

For the uncorrected formation energy, the calculation gives -522 meV per atom. Its density of states at the Fermi level is 1.09 states/eV/f.u. Its energy relative to the lowest polymorph listed for this composition is 89 meV per atom. The space-group type is No. 139.

***

Record 5
The following is a DFT calculation (PBE) of HgSb2Br after structural relaxation.

Cell and atoms, written as POSCAR:
```
HgSb2Br
1.0
4.543 0.000 0.000
0.000 4.540 0.000
0.000 0.000 5.854
Sb Hg Br
2 1 1
Direct
0.000 0.000 0.125
0.500 0.500 0.125
0.500 0.500 0.625
0.000 0.000 0.625
```

For the uncorrected formation energy, the calculation gives -33 meV per atom. Its density of states at the Fermi level is 3.03 states/eV/f.u. Its energy relative to the lowest polymorph listed for this composition is 87 meV per atom. The space-group type is No. 123.

***

Record 6
The following is a DFT calculation (PBE) of Ba6Sr3In after structural relaxation.

Cell and atoms, written as POSCAR:
```
Ba6Sr3In
1.0
6.709 0.000 0.000
0.000 10.581 -4.014
0.000 0.474 15.165
Ba Sr In
12 6 2
Direct
0.750 0.170 0.210
0.750 0.495 0.076
0.750 0.941 0.604
0.750 0.247 0.499
0.750 0.527 0.401
0.750 0.798 0.944
0.250 0.202 0.056
0.250 0.059 0.396
0.250 0.753 0.501
0.250 0.505 0.924
0.250 0.473 0.599
0.250 0.830 0.790
0.250 0.164 0.704
0.750 0.426 0.767
0.750 0.836 0.296
0.250 0.574 0.233
0.250 0.860 0.117
0.750 0.140 0.883
0.250 0.345 0.339
0.750 0.655 0.661
```

Its density of states at the Fermi level is 13.18 states/eV/f.u. The calculation puts the formation energy from the elements at -0.0318 eV per atom. The space-group type is No. 11.

***

Number 1: calculated volume 92 Å³ per cell. Number 2: calculated volume 65 Å³ per cell. Number 3: calculated volume 142 Å³ per cell. Number 4: calculated volume 168 Å³ per cell. Number 5: calculated volume 121 Å³ per cell. Number 6: calculated volume 1089 Å³ per cell.